Record 1
# K2Rb4Tl | Alexandria via LeMat-Bulk | PBE | optimized geometry
data_K2Rb4Tl
_cell_length_a 12.2291
_cell_length_b 12.2291
_cell_length_c 12.2291
_cell_angle_alpha 145.85
_cell_angle_beta 145.85
_cell_angle_gamma 49.07
_space_group_name_H-M_alt 'P 1'
_space_group_IT_number 1
loop_
_space_group_symop_operation_xyz
'x,y,z'
loop_
_atom_site_label
_atom_site_type_symbol
_atom_site_fract_x
_atom_site_fract_y
_atom_site_fract_z
K1 K 0.1280 0.1280 0.0000
K2 K 0.8720 0.8720 0.0000
Rb1 Rb 0.0000 0.5000 0.5000
Rb2 Rb 0.3296 0.3296 0.0000
Rb3 Rb 0.5000 0.0000 0.5000
Rb4 Rb 0.6704 0.6704 0.0000
Tl1 Tl 0.5000 0.5000 0.0000
# magnetic moment: 0.00 μB/atom
# D(E_F): 7.3 states/eV per cell
# formation enthalpy at 0 K: 0.0801 eV per atom

---

Record 2
# K5Rb5Tl | Alexandria via LeMat-Bulk | PBE | optimized geometry
data_K5Rb5Tl
_cell_length_a 12.7715
_cell_length_b 12.7715
_cell_length_c 12.7715
_cell_angle_alpha 145.77
_cell_angle_beta 133.77
_cell_angle_gamma 58.77
_space_group_name_H-M_alt 'P 1'
_space_group_IT_number 1
loop_
_space_group_symop_operation_xyz
'x,y,z'
loop_
_atom_site_label
_atom_site_type_symbol
_atom_site_fract_x
_atom_site_fract_y
_atom_site_fract_z
K1 K 0.0000 0.0000 0.0000
K2 K 0.0706 0.3628 0.7079
K3 K 0.3451 0.6372 0.7079
K4 K 0.6549 0.3628 0.2921
K5 K 0.9294 0.6372 0.2921
Rb1 Rb 0.2060 0.2060 0.0000
Rb2 Rb 0.3537 0.8537 0.5000
Rb3 Rb 0.5000 0.5000 0.0000
Rb4 Rb 0.6463 0.1463 0.5000
Rb5 Rb 0.7940 0.7940 0.0000
Tl1 Tl 0.0000 0.5000 0.5000
# magnetic moment: 0.00 μB/atom
# D(E_F): 9.0 states/eV per cell
# formation enthalpy at 0 K: 0.0449 eV per atom

---

Record 3
# K6Rb8Tl | Alexandria via LeMat-Bulk | PBE | optimized geometry
data_K6Rb8Tl
_cell_length_a 11.9289
_cell_length_b 11.9289
_cell_length_c 11.9289
_cell_angle_alpha 58.38
_cell_angle_beta 58.38
_cell_angle_gamma 58.38
_space_group_name_H-M_alt 'P 1'
_space_group_IT_number 1
loop_
_space_group_symop_operation_xyz
'x,y,z'
loop_
_atom_site_label
_atom_site_type_symbol
_atom_site_fract_x
_atom_site_fract_y
_atom_site_fract_z
K1 K 0.0645 0.5866 0.2177
K2 K 0.2177 0.0645 0.5866
K3 K 0.4134 0.7823 0.9355
K4 K 0.5866 0.2177 0.0645
K5 K 0.7823 0.9355 0.4134
K6 K 0.9355 0.4134 0.7823
Rb1 Rb 0.1486 0.1486 0.1486
Rb2 Rb 0.2060 0.6840 0.4222
Rb3 Rb 0.3160 0.5778 0.7940
Rb4 Rb 0.4222 0.2060 0.6840
Rb5 Rb 0.5778 0.7940 0.3160
Rb6 Rb 0.6840 0.4222 0.2060
Rb7 Rb 0.7940 0.3160 0.5778
Rb8 Rb 0.8514 0.8514 0.8514
Tl1 Tl 0.0000 0.0000 0.0000
# magnetic moment: 0.00 μB/atom
# D(E_F): 11.0 states/eV per cell
# formation enthalpy at 0 K: 0.0372 eV per atom

---

Record 4
# KRb3Tl | Alexandria via LeMat-Bulk | PBE | optimized geometry
data_KRb3Tl
_cell_length_a 7.6547
_cell_length_b 7.6547
_cell_length_c 7.6547
_cell_angle_alpha 90.00
_cell_angle_beta 90.00
_cell_angle_gamma 90.00
_space_group_name_H-M_alt 'P 1'
_space_group_IT_number 1
loop_
_space_group_symop_operation_xyz
'x,y,z'
loop_
_atom_site_label
_atom_site_type_symbol
_atom_site_fract_x
_atom_site_fract_y
_atom_site_fract_z
K1 K 0.0000 0.0000 0.0000
Rb1 Rb 0.0000 0.0000 0.5000
Rb2 Rb 0.0000 0.5000 0.0000
Rb3 Rb 0.5000 0.0000 0.0000
Tl1 Tl 0.5000 0.5000 0.5000
# magnetic moment: 0.00 μB/atom
# D(E_F): 5.9 states/eV per cell
# formation enthalpy at 0 K: 0.3761 eV per atom